# 1
First-principles (PBE) data for a relaxed structure of LiScTlNi, as listed in the Open Quantum Materials Database.

a b c (Å): 6.432 6.432 6.432
angles (deg): 90.00 90.00 90.00
Fractional coordinates of all 16 atoms:
1 Li 0.000 0.000 0.000
2 Li 0.000 0.500 0.500
3 Li 0.500 0.000 0.500
4 Li 0.500 0.500 0.000
5 Sc 0.250 0.250 0.750
6 Sc 0.250 0.750 0.250
7 Sc 0.750 0.250 0.250
8 Sc 0.750 0.750 0.750
9 Tl 0.250 0.250 0.250
10 Tl 0.250 0.750 0.750
11 Tl 0.750 0.250 0.750
12 Tl 0.750 0.750 0.250
13 Ni 0.000 0.000 0.500
14 Ni 0.000 0.500 0.000
15 Ni 0.500 0.000 0.000
16 Ni 0.500 0.500 0.500

Summary:
The value obtained for the final energy is -69.2 eV per cell. For the volume, the calculation gives 16.6 A^3/atom.

=====

# 2
First-principles (PBE) data for a relaxed structure of ThTlAuS3, as listed in the Open Quantum Materials Database.

a b c (Å): 7.498 7.498 10.574
angles (deg): 90.00 90.00 147.05
Fractional coordinates of all 12 atoms:
1 Th 0.000 0.000 0.000
2 Th 0.000 0.000 0.500
3 Tl 0.277 0.723 0.750
4 Tl 0.723 0.277 0.250
5 Au 0.410 0.590 0.250
6 Au 0.590 0.410 0.750
7 S 0.059 0.941 0.250
8 S 0.373 0.627 0.032
9 S 0.373 0.627 0.468
10 S 0.627 0.373 0.532
11 S 0.627 0.373 0.968
12 S 0.941 0.059 0.750

Summary:
The value obtained for the final energy is -64.2 eV per cell. For the volume, the calculation gives 26.9 A^3/atom.

=====

# 3
First-principles (PBE) data for a relaxed structure of LaSi2GePd, as listed in the Open Quantum Materials Database.

a b c (Å): 4.426 4.426 9.846
angles (deg): 90.00 90.00 90.00
Fractional coordinates of all 10 atoms:
1 La 0.000 0.000 0.000
2 La 0.500 0.500 0.500
3 Si 0.000 0.500 0.240
4 Si 0.000 0.500 0.740
5 Si 0.500 0.000 0.240
6 Si 0.500 0.000 0.740
7 Ge 0.000 0.000 0.599
8 Ge 0.500 0.500 0.099
9 Pd 0.000 0.000 0.343
10 Pd 0.500 0.500 0.843

Summary:
The value obtained for the final energy is -58.1 eV per cell. For the volume, the calculation gives 19.3 A^3/atom.

=====

# 4
First-principles (PBE) data for a relaxed structure of Nd3Mg3Ga2Au, as listed in the Open Quantum Materials Database.

a b c (Å): 7.541 7.541 4.460
angles (deg): 90.00 90.00 120.00
Fractional coordinates of all 9 atoms:
1 Nd 0.000 0.582 0.000
2 Nd 0.418 0.418 0.000
3 Nd 0.582 0.000 0.000
4 Mg 0.000 0.240 0.500
5 Mg 0.240 0.000 0.500
6 Mg 0.760 0.760 0.500
7 Ga 0.333 0.667 0.500
8 Ga 0.667 0.333 0.500
9 Au 0.000 0.000 0.000

Summary:
The value obtained for the final energy is -33.4 eV per cell. For the volume, the calculation gives 24.4 A^3/atom.